# 1
ZnNi3Rh3 | PBE | optimized geometry

Values from the calculation:
**SG**: R-3, No. 148
**ΔH_f (0 K)**: -0.036 eV per atom
**Energy relative to the lowest polymorph listed for this composition**: 0.000 eV per atom

Geometry as POSCAR:
```
ZnNi3Rh3
1.0
3.476 2.007 4.313
-3.476 2.007 4.313
0.000 -4.013 4.313
Zn Ni Rh
2 6 6
Direct
0.245 0.245 0.245
0.755 0.755 0.755
0.036 0.895 0.312
0.105 0.688 0.964
0.312 0.036 0.895
0.688 0.964 0.105
0.895 0.312 0.036
0.964 0.105 0.688
0.172 0.461 0.617
0.383 0.828 0.539
0.461 0.617 0.172
0.539 0.383 0.828
0.617 0.172 0.461
0.828 0.539 0.383
```

=====

# 2
ZnNi4Rh3 | PBE | optimized geometry

Values from the calculation:
**SG**: I4/mmm, No. 139
**ΔH_f (0 K)**: -0.022 eV per atom

Geometry as POSCAR:
```
ZnNi4Rh3
1.0
3.713 0.000 0.000
0.000 3.713 0.000
0.000 0.000 14.728
Zn Ni Rh
2 8 6
Direct
0.000 0.000 0.000
0.500 0.500 0.500
0.000 0.500 0.126
0.000 0.500 0.374
0.000 0.500 0.626
0.000 0.500 0.874
0.500 0.000 0.126
0.500 0.000 0.374
0.500 0.000 0.626
0.500 0.000 0.874
0.000 0.000 0.249
0.000 0.000 0.500
0.000 0.000 0.751
0.500 0.500 0.000
0.500 0.500 0.251
0.500 0.500 0.749
```

=====

# 3
ZnNi2Rh4 | PBE | optimized geometry

Values from the calculation:
**SG**: C2/m, No. 12
**ΔH_f (0 K)**: -0.059 eV per atom

Geometry as POSCAR:
```
ZnNi2Rh4
1.0
8.463 0.000 0.000
0.000 3.726 0.000
-0.703 0.000 5.896
Zn Ni Rh
2 4 8
Direct
0.000 0.000 0.000
0.500 0.500 0.000
0.142 0.000 0.428
0.358 0.500 0.572
0.642 0.500 0.428
0.858 0.000 0.572
0.073 0.500 0.709
0.215 0.500 0.155
0.285 0.000 0.845
0.427 0.000 0.291
0.573 0.000 0.709
0.715 0.000 0.155
0.785 0.500 0.845
0.927 0.500 0.291
```

=====

# 4
Zn6Ni2Rh | PBE | optimized geometry

Values from the calculation:
**SG**: C2/m, No. 12
**ΔH_f (0 K)**: -0.026 eV per atom
**Energy relative to the lowest polymorph listed for this composition**: 0.163 eV per atom

Geometry as POSCAR:
```
Zn6Ni2Rh
1.0
6.433 -2.892 0.000
6.433 2.892 0.000
-1.241 0.000 3.855
Zn Ni Rh
6 2 1
Direct
0.075 0.584 0.328
0.236 0.764 0.000
0.416 0.925 0.672
0.584 0.075 0.328
0.764 0.236 0.000
0.925 0.416 0.672
0.168 0.168 0.169
0.832 0.832 0.831
0.500 0.500 0.500
```

=====

# 5
ZnNi12Rh3 | PBE | optimized geometry

Values from the calculation:
**SG**: R3c, No. 161
**ΔH_f (0 K)**: 0.148 eV per atom

Geometry as POSCAR:
```
ZnNi12Rh3
1.0
6.112 3.529 3.012
-6.112 3.529 3.012
0.000 -7.057 3.012
Zn Ni Rh
2 24 6
Direct
0.000 0.000 0.000
0.500 0.500 0.500
0.029 0.940 0.617
0.117 0.440 0.529
0.177 0.407 0.213
0.201 0.228 0.885
0.213 0.177 0.407
0.228 0.885 0.201
0.257 0.912 0.898
0.385 0.728 0.701
0.398 0.412 0.757
0.407 0.213 0.177
0.412 0.757 0.398
0.440 0.529 0.117
0.529 0.117 0.440
0.617 0.029 0.940
0.677 0.713 0.907
0.701 0.385 0.728
0.713 0.907 0.677
0.728 0.701 0.385
0.757 0.398 0.412
0.885 0.201 0.228
0.898 0.257 0.912
0.907 0.677 0.713
0.912 0.898 0.257
0.940 0.617 0.029
0.056 0.671 0.382
0.171 0.556 0.882
0.382 0.056 0.671
0.556 0.882 0.171
0.671 0.382 0.056
0.882 0.171 0.556
```

=====

# 6
ZnNi3Rh | PBE | optimized geometry

Values from the calculation:
**SG**: Pm-3m, No. 221
**ΔH_f (0 K)**: 1.077 eV per atom
**Energy relative to the lowest polymorph listed for this composition**: 1.155 eV per atom

Geometry as POSCAR:
```
ZnNi3Rh
1.0
4.252 0.000 0.000
0.000 4.252 0.000
0.000 0.000 4.252
Zn Ni Rh
1 3 1
Direct
0.000 0.000 0.000
0.000 0.000 0.500
0.000 0.500 0.000
0.500 0.000 0.000
0.500 0.500 0.500
```

=====

# 7
ZnNiRh2 | PBE | optimized geometry

Values from the calculation:
**SG**: R-3m, No. 166
**ΔH_f (0 K)**: -0.066 eV per atom

Geometry as POSCAR:
```
ZnNiRh2
1.0
2.730 0.000 0.000
-1.365 2.364 0.000
0.000 0.000 25.211
Zn Ni Rh
3 3 6
Direct
0.000 0.000 0.000
0.333 0.667 0.667
0.667 0.333 0.333
0.000 0.000 0.500
0.333 0.667 0.167
0.667 0.333 0.833
0.000 0.000 0.248
0.000 0.000 0.752
0.333 0.667 0.418
0.333 0.667 0.915
0.667 0.333 0.085
0.667 0.333 0.582
```

=====

# 8
Zn4Ni3Rh | PBE | optimized geometry

Values from the calculation:
**SG**: Pmmm, No. 47
**ΔH_f (0 K)**: -0.291 eV per atom

Geometry as POSCAR:
```
Zn4Ni3Rh
1.0
3.055 0.000 0.000
0.000 4.069 0.000
0.000 0.000 8.107
Zn Ni Rh
4 3 1
Direct
0.000 0.000 0.000
0.000 0.000 0.500
0.000 0.500 0.242
0.000 0.500 0.758
0.500 0.000 0.245
0.500 0.000 0.755
0.500 0.500 0.000
0.500 0.500 0.500
```